# GaSnAu2

An optimized crystal structure of GaSnAu2 (PBE-GGA, the Alexandria database).

Cell: 3.4422 3.4422 6.8934 Å, 90.00 90.00 90.00°
Last column: nearest neighbours and their distance in Å.
Positions (direct):
Au: 0.0000 0.0000 0.7825  4 Ga 2.86, 1 Au 3.00, 4 Sn 3.12
Au: 0.0000 0.0000 0.2175  4 Ga 2.86, 1 Au 3.00, 4 Sn 3.12
Sn: 0.5000 0.5000 0.5000  8 Au 3.12, 4 Sn 3.44, 2 Ga 3.45
Ga: 0.5000 0.5000 0.0000  8 Au 2.86

Properties
The formation energy comes out at -0.0683 eV/atom. For the distance to the lowest polymorph of the same formula, the calculation gives 117 meV/atom. The electronic total energy comes out at -3.464 eV per atom. As for the magnetic moment: 0.00 μB/cell. As for the density of states at the Fermi level: 0.32 states/eV/atom.